Entry from Alexandria via LeMat-Bulk: a relaxed structure of Li2CoBi2O6 (PBE+U).

Results
- volume (A^3/atom) = 12.4
- VASP energy (eV per atom) = -5.371

Cell lengths 5.7396, 5.7396, 5.8162 Å; angles 60.43, 60.43, 60.00 degrees
Closest atoms and distances in Å follow each position.
Fractional coordinates of all 11 atoms:
Bi1 0.2007 0.2007 0.3979  3 O 2.21
O1 0.2318 0.7907 0.7457  1 Li 1.86, 1 Co 1.90
Bi2 0.7993 0.7993 0.6021  3 O 2.21
O2 0.7907 0.2318 0.7457  1 Li 1.86, 1 Co 1.90
Co1 0.0000 0.0000 0.0000  6 O 1.90
O3 0.2093 0.7682 0.2543  1 Li 1.86, 1 Co 1.90
Li1 0.4091 0.4091 0.7727  3 O 1.86
O4 0.7682 0.2093 0.2543  1 Li 1.86, 1 Co 1.90
Li2 0.5909 0.5909 0.2273  3 O 1.86
O5 0.2318 0.2318 0.7457  1 Li 1.86, 1 Co 1.90
O6 0.7682 0.7682 0.2543  1 Li 1.86, 1 Co 1.90